Entry 1:
The following is a DFT calculation (GGA-PBE) of a geometry-optimized CeY2Tl3 structure.

Output
N(E_F): 10.63 states/eV/cell
Space-group type: P4/mmm

abc: 3.629 3.629 12.765
angles: 90.00 90.00 90.00
Positions (direct):
Ce 0.000 0.000 0.000
Y 0.000 0.000 0.337
Y 0.000 0.000 0.663
Tl 0.500 0.500 0.173
Tl 0.500 0.500 0.500
Tl 0.500 0.500 0.827


Entry 2:
The following is a DFT calculation (GGA-PBE) of a geometry-optimized DyYErIn structure.

Output
N(E_F): 25.95 states/eV/cell
Space-group type: F-43m
Energy above the lowest structure with this stoichiometry: 0.1289 eV per atom

abc: 7.691 7.691 7.691
angles: 90.00 90.00 90.00
Positions (direct):
Dy 0.000 0.000 0.000
Dy 0.000 0.500 0.500
Dy 0.500 0.000 0.500
Dy 0.500 0.500 0.000
Y 0.000 0.000 0.500
Y 0.000 0.500 0.000
Y 0.500 0.000 0.000
Y 0.500 0.500 0.500
Er 0.250 0.250 0.250
Er 0.250 0.750 0.750
Er 0.750 0.250 0.750
Er 0.750 0.750 0.250
In 0.250 0.250 0.750
In 0.250 0.750 0.250
In 0.750 0.250 0.250
In 0.750 0.750 0.750


Entry 3:
The following is a DFT calculation (GGA-PBE) of a geometry-optimized K2PmRuO4 structure.

Output
Space-group type: I-4
Formation energy without anion corrections: -1340 kJ/mol of formula units

abc: 6.280 6.280 7.228
angles: 90.00 90.00 90.00
Positions (direct):
K 0.000 0.000 0.000
K 0.000 0.500 0.250
K 0.500 0.000 0.750
K 0.500 0.500 0.500
Pm 0.000 0.500 0.750
Pm 0.500 0.000 0.250
Ru 0.000 0.000 0.500
Ru 0.500 0.500 0.000
O 0.154 0.732 0.550
O 0.232 0.346 0.950
O 0.268 0.154 0.450
O 0.346 0.768 0.050
O 0.654 0.232 0.050
O 0.732 0.846 0.450
O 0.768 0.654 0.950
O 0.846 0.268 0.550


Number 1: uncorrected energy -4.657 eV/atom. Number 2: uncorrected energy -4.730 eV/atom. Number 3: uncorrected energy -6.243 eV/atom.